[1]
Ca3PI2 | Alexandria via LeMat-Bulk | PBE-GGA | optimized geometry; E = -44.2 eV for the cell shown; raw formation energy = -1.26 eV/atom
1.0
-0.9045 4.8850 5.7208
-3.3055 -2.2541 6.4197
6.3459 -0.3382 4.6409
P Ca I
2 6 4
Cartesian
-1.4102 0.8656 4.0554
-2.7998 1.7653 8.0851
0.9855 1.4109 2.6518
2.5723 0.4467 10.2547
3.7737 -0.7626 6.4597
-0.4363 1.8460 6.5268
4.4559 3.1358 7.7099
-1.6378 3.0553 10.3218
1.3697 3.2365 9.1624
0.7662 -0.9438 7.6190
2.7207 2.2734 5.1809
0.0000 0.0000 0.0000

[2]
Ca2PI | Alexandria via LeMat-Bulk | PBE-GGA | optimized geometry; E = -14.8 eV for the cell shown; raw formation energy = -0.97 eV/atom; energy relative to the lowest polymorph listed for this composition = 10.07 kcal/mol of atoms
1.0
0.0000 3.7655 3.7655
3.7655 0.0000 3.7655
3.7655 3.7655 0.0000
Ca I P
2 1 1
Cartesian
1.8827 1.8827 1.8827
5.6482 5.6482 5.6482
3.7655 3.7655 3.7655
0.0000 0.0000 0.0000

[3]
Ca4PI2 | Alexandria via LeMat-Bulk | PBE-GGA | optimized geometry; E = -22.5 eV for the cell shown; raw formation energy = -0.86 eV/atom
1.0
-3.0643 -0.9102 4.6537
3.7830 -3.8100 1.7457
4.3315 3.2885 6.9200
P I Ca
1 2 4
Cartesian
0.0000 0.0000 0.0000
1.2713 -1.0633 4.0538
3.7790 -0.3684 9.2656
1.8915 -1.9050 0.8729
2.2012 -2.6121 7.7879
2.8491 1.1804 5.5316
-1.5321 -0.4551 2.3268

[4]
CaP2PbI | Alexandria via LeMat-Bulk | PBE-GGA | optimized geometry; E = -14.9 eV for the cell shown; raw formation energy = 0.64 eV/atom
1.0
-3.6864 -3.7767 0.8058
3.3900 -2.5387 3.6098
-2.0822 2.8822 3.9824
Pb P I Ca
1 2 1 1
Cartesian
-1.1893 -1.7166 4.1990
-1.8432 -1.8884 0.4029
-1.0411 1.4411 1.9912
0.0000 0.0000 0.0000
1.6950 -1.2694 1.8049

[5]
Ca6PPt2I3 | Alexandria via LeMat-Bulk | PBE-GGA | optimized geometry; E = -47.9 eV for the cell shown; raw formation energy = -1.14 eV/atom
1.0
-6.2282 4.0793 -0.1954
0.0754 -6.8142 -3.0051
-0.0701 -2.0331 7.7254
I Ca Pt P
3 6 2 1
Cartesian
-5.2090 1.2407 3.1974
-1.0140 -6.0088 1.3276
-3.1115 -2.3840 2.2625
-1.6739 -2.3615 5.4004
-4.5491 -2.4066 -0.8754
-3.7729 -5.5418 3.3192
-2.4501 0.7738 1.2058
-5.8396 -1.9703 4.2403
-0.3834 -2.7978 0.2846
-4.1251 0.4448 -1.1328
-2.0278 -3.1797 -2.0676
0.0000 0.0000 0.0000

[6]
Rb2CaPI6 | Alexandria via LeMat-Bulk | PBE-GGA | optimized geometry; E = -27.4 eV for the cell shown; raw formation energy = -0.88 eV/atom
1.0
8.6353 0.0000 0.0000
0.0000 8.6353 0.0000
4.3177 4.3177 5.8971
I Rb P Ca
6 2 1 1
Cartesian
8.6353 8.6353 3.1384
6.4431 2.1922 0.0000
2.1922 2.1922 0.0000
2.1922 6.4431 0.0000
4.3177 4.3177 2.7587
6.4431 6.4431 0.0000
4.3177 8.6353 2.9486
8.6353 4.3177 2.9486
4.3177 4.3177 0.0000
0.0000 0.0000 0.0000

[7]
Ca2PRhI | Alexandria via LeMat-Bulk | PBE-GGA | optimized geometry; E = -22.8 eV for the cell shown; raw formation energy = -0.90 eV/atom
1.0
5.6806 0.0000 0.0000
0.0000 4.3643 0.0000
0.0000 0.0000 5.6806
Ca P I Rh
2 1 1 1
Cartesian
0.0000 0.0000 2.8403
2.8403 0.0000 0.0000
0.0000 2.1822 0.0000
2.8403 2.1822 2.8403
0.0000 0.0000 0.0000

[8]
CaP2SI | Alexandria via LeMat-Bulk | PBE-GGA | optimized geometry; E = -15.8 eV for the cell shown; raw formation energy = 0.54 eV/atom; energy relative to the lowest polymorph listed for this composition = 0.00 kcal/mol of atoms
1.0
5.1552 0.0000 0.0000
0.0000 5.1552 0.0000
0.0000 0.0000 5.1205
P Ca I S
2 1 1 1
Cartesian
2.5776 0.0000 0.0000
0.0000 2.5776 0.0000
2.5776 2.5776 2.5602
0.0000 0.0000 0.0000
0.0000 0.0000 2.5602

[9]
Ca6P2SI3 | Alexandria via LeMat-Bulk | PBE-GGA | optimized geometry; E = -49.3 eV for the cell shown; raw formation energy = -1.47 eV/atom
1.0
7.3811 -0.0014 0.0013
-3.6899 6.3926 0.0013
-1.2299 -2.1295 7.3946
S Ca I P
1 6 3 2
Cartesian
0.0000 0.0000 0.0000
-1.2460 2.1589 1.4248
3.7073 2.1028 5.9725
-0.0313 4.2621 5.9725
0.0171 0.0296 5.9775
2.4926 -0.0003 1.4248
2.4442 4.2321 1.4198
4.9429 -0.0131 3.6986
-2.4816 4.2748 3.6986
1.2307 2.1309 3.6986
3.6933 2.1285 0.0013
-0.0021 4.2627 0.0013

[10]
Ca4PSI2 | Alexandria via LeMat-Bulk | PBE-GGA | optimized geometry; E = -32.6 eV for the cell shown; raw formation energy = -1.50 eV/atom
1.0
-0.8004 0.0858 4.1701
4.6977 -5.5379 1.0156
3.9129 6.6737 0.6137
S Ca I P
1 4 2 1
Cartesian
0.0000 0.0000 0.0000
6.3441 1.1932 3.3558
1.4661 0.0284 2.4435
4.1678 -2.7322 0.8561
4.4428 3.8679 0.7732
1.5563 3.3797 2.3919
4.3053 0.5679 0.8146
1.9486 -2.7261 2.5928

[11]
CaP2SI | Alexandria via LeMat-Bulk | PBE-GGA | optimized geometry; E = -14.4 eV for the cell shown; raw formation energy = 0.82 eV/atom; energy relative to the lowest polymorph listed for this composition = 6.53 kcal/mol of atoms
1.0
-2.6564 4.7468 -0.8334
-3.0731 -0.9353 4.4681
3.4089 2.4078 2.8486
P I Ca S
2 1 1 1
Cartesian
-1.3282 2.3734 -0.4167
-1.5366 -0.4677 2.2341
-1.1603 3.1096 3.2417
0.0000 0.0000 0.0000
1.7044 1.2039 1.4243

[12]
Ca4PSeI2 | Alexandria via LeMat-Bulk | PBE-GGA | optimized geometry; E = -31.8 eV for the cell shown; raw formation energy = -1.47 eV/atom
1.0
4.3018 0.0000 0.0000
0.0000 7.4721 0.1368
0.0000 -2.6115 7.3292
Ca I Se P
4 2 1 1
Cartesian
2.1509 3.5420 5.9687
0.0000 -0.0056 5.9372
0.0000 4.8662 1.5288
2.1509 1.3187 1.4973
0.0000 2.4303 3.7330
2.1509 -1.3057 3.6646
0.0000 0.0000 0.0000
2.1509 3.7361 0.0684

[13]
CaPSeI2 | Alexandria via LeMat-Bulk | PBE-GGA | optimized geometry; E = -15.7 eV for the cell shown; raw formation energy = -0.34 eV/atom
1.0
-1.8772 2.3883 -4.5728
-0.0128 -4.4813 -2.3353
-5.1589 -0.8560 1.6708
I Se P Ca
2 1 1 1
Cartesian
-0.9386 1.1942 -2.2864
-2.5795 -0.4280 0.8354
-0.0064 -2.2406 -1.1676
0.0000 0.0000 0.0000
-3.5245 -1.4745 -2.6186

[14]
Ca6P2SeI3 | Alexandria via LeMat-Bulk | PBE-GGA | optimized geometry; E = -48.4 eV for the cell shown; raw formation energy = -1.46 eV/atom
1.0
7.4590 -0.0012 0.0007
-3.7287 6.4601 0.0007
-1.2435 -2.1532 7.4034
P Ca Se I
2 6 1 3
Cartesian
3.7329 2.1507 0.0007
-0.0027 4.3081 0.0007
0.0467 0.0809 5.9690
-0.0936 4.3058 5.9592
-1.2896 2.2349 1.4456
3.7763 2.0708 5.9592
2.4400 4.2248 1.4358
2.5803 -0.0001 1.4456
0.0000 0.0000 0.0000
5.0076 -0.0212 3.7024
1.2433 2.1528 3.7024
-2.5210 4.3269 3.7024

[15]
CaSiPI2 | Alexandria via LeMat-Bulk | PBE-GGA | optimized geometry; E = -14.1 eV for the cell shown; raw formation energy = 0.36 eV/atom
1.0
-1.7089 -1.6970 -4.9877
3.8462 -4.0153 0.0483
-3.6165 -3.4352 2.4079
I Ca Si P
2 1 1 1
Cartesian
-1.8082 -1.7176 1.2039
-0.8545 -0.8485 -2.4939
1.9231 -2.0076 0.0242
-0.7396 -4.5738 -1.2658
0.0000 0.0000 0.0000

[16]
CaTcP2I | Alexandria via LeMat-Bulk | PBE-GGA | optimized geometry; E = -18.1 eV for the cell shown; raw formation energy = 1.33 eV/atom
1.0
-0.5657 5.1651 0.6841
-1.9781 0.5058 -5.4543
-4.8967 -0.7622 1.7052
P I Tc Ca
2 1 1 1
Cartesian
-0.2829 2.5826 0.3421
-2.4484 -0.3811 0.8526
-0.9891 0.2529 -2.7272
-3.7203 2.4544 -1.5325
0.0000 0.0000 0.0000

[17]
CaTe2PI | Alexandria via LeMat-Bulk | PBE-GGA | optimized geometry; E = -13.2 eV for the cell shown; raw formation energy = 0.41 eV/atom; energy relative to the lowest polymorph listed for this composition = 15.70 kcal/mol of atoms
1.0
-5.7931 -0.6187 -1.8428
-0.9371 -4.1863 4.3514
-1.6533 4.2792 3.7608
Te P I Ca
2 1 1 1
Cartesian
-2.8965 -0.3093 -0.9214
-0.4686 -2.0932 2.1757
-4.1918 -0.2629 3.1347
-0.8267 2.1396 1.8804
0.0000 0.0000 0.0000

[18]
Ca4TePI2 | Alexandria via LeMat-Bulk | PBE-GGA | optimized geometry; E = -30.6 eV for the cell shown; raw formation energy = -1.37 eV/atom
1.0
-2.3978 2.8365 -2.3431
0.2931 -4.7777 -6.0837
-6.3097 -1.7709 4.3132
I P Ca Te
2 1 4 1
Cartesian
-3.0083 -3.2743 -0.8852
-4.3538 0.5328 0.9850
-1.0523 -0.9706 -4.2134
-4.9827 -2.8103 1.6970
-5.9780 -3.5012 -2.2362
-1.0339 -3.7383 -3.4675
-2.4364 -0.2109 -1.8773
0.0000 0.0000 0.0000

[19]
CaTe2PI | Alexandria via LeMat-Bulk | PBE-GGA | optimized geometry; E = -16.6 eV for the cell shown; raw formation energy = -0.27 eV/atom; energy relative to the lowest polymorph listed for this composition = 0.00 kcal/mol of atoms
1.0
-1.9898 -3.0935 3.9446
4.9317 -0.4472 2.1371
-0.8997 4.4002 2.9970
Te Ca I P
2 1 1 1
Cartesian
-0.9949 -1.5467 1.9723
2.4658 -0.2236 1.0685
1.0211 0.4298 4.5393
-0.4499 2.2001 1.4985
0.0000 0.0000 0.0000

[20]
CaTlP2I | Alexandria via LeMat-Bulk | PBE-GGA | optimized geometry; E = -15.3 eV for the cell shown; raw formation energy = 0.28 eV/atom
1.0
-0.5239 3.8531 3.8463
4.0310 -3.0434 3.5978
4.1231 2.8042 -2.2476
I Ca P Tl
1 1 2 1
Cartesian
2.0155 -1.5217 1.7989
0.0000 0.0000 0.0000
-0.2619 1.9266 1.9232
2.0616 1.4021 -1.1238
3.8152 1.8070 2.5982

[21]
CaPaI6 | Alexandria via LeMat-Bulk | PBE-GGA | optimized geometry; E = -30.1 eV for the cell shown; raw formation energy = -1.16 eV/atom
1.0
-1.4970 2.3276 7.2690
-7.3496 0.6914 2.4328
-2.8661 -5.7179 5.4085
Pa I Ca
1 6 1
Cartesian
0.0000 0.0000 0.0000
-3.9327 -2.4837 9.8041
-8.3361 -2.8483 8.8367
-7.7799 -0.2151 5.3062
-5.2363 -3.8270 5.6796
-3.3765 0.1494 6.2736
-6.4763 1.1282 9.4308
-5.8563 -1.3494 7.5552

[22]
RbCaPaI6 | Alexandria via LeMat-Bulk | PBE-GGA | optimized geometry; E = -65.4 eV for the cell shown; raw formation energy = -1.22 eV/atom
1.0
8.1529 0.0000 0.0000
-4.0764 7.0606 0.0000
0.0000 0.0000 16.2813
Rb Pa I Ca
2 2 12 2
Cartesian
0.0000 0.0000 0.0000
0.0000 0.0000 8.1407
4.0764 2.3535 4.0703
0.0000 4.7071 12.2110
1.0491 7.0540 5.9038
-1.0491 7.0540 2.2369
5.1255 0.0066 14.0444
1.5194 2.6185 14.0444
-1.5080 2.6251 2.2369
2.5685 4.4355 10.3775
-2.5570 4.4421 5.9038
6.6335 2.6185 10.3775
1.5080 2.6251 5.9038
5.5844 4.4355 14.0444
3.0274 0.0066 10.3775
2.5570 4.4421 2.2369
4.0764 2.3535 12.2110
0.0000 4.7071 4.0703

[23]
CaPbI | Alexandria via LeMat-Bulk | PBE-GGA | optimized geometry; E = -19.2 eV for the cell shown; raw formation energy = -0.79 eV/atom
1.0
-3.5932 -2.9349 -2.8246
0.2343 -2.5317 -2.9083
-0.5301 -12.4501 8.2447
Ca I Pb
2 2 2
Cartesian
-0.5009 -4.7364 0.2477
-3.3881 -13.1803 2.2641
-1.4291 -13.0299 4.8375
-2.4598 -4.8868 -2.3258
-2.0930 -7.8361 0.2722
-1.7960 -10.0806 2.2396

[24]
CaPbI4 | Alexandria via LeMat-Bulk | PBE-GGA | optimized geometry; E = -74.9 eV for the cell shown; raw formation energy = -1.14 eV/atom
1.0
-0.2254 -2.6117 -3.7706
12.9753 -7.1020 4.1434
-8.5102 -10.8619 8.0322
I Ca Pb
16 4 4
Cartesian
4.4184 -3.4373 2.1167
7.5285 -12.2317 5.2256
0.0388 -8.7977 6.0913
2.2120 -7.3727 2.1778
4.6622 -8.6294 5.6984
0.2633 -14.1806 9.8064
9.8914 -8.1574 5.0588
2.4124 -12.7517 5.8916
-2.2105 -12.9341 6.2944
6.5677 -7.2650 1.8429
3.4006 -17.7298 9.2806
0.5463 -3.1500 -0.6474
5.5601 -13.7688 9.2045
-3.7833 -8.7392 3.4828
-5.7921 -10.0470 7.3053
-1.4361 -4.6702 3.3206
4.5049 -6.0346 3.9105
6.2835 -16.7579 8.4350
-2.0304 -15.5290 8.0809
12.8091 -7.2582 4.2616
0.2108 -11.5041 7.9556
8.5096 -12.7174 8.2999
2.2380 -10.0527 4.0326
10.5653 -11.2817 4.3860